No. 1
Compound: Tb9Ce4Ho11
Source: Alexandria via LeMat-Bulk
Functional: PBE
Structure: relaxed

abc: 14.987 14.987 3.650
angles: 90.00 90.00 112.43
Fractional positions:
Tb 0.000 0.000 0.000
Tb 0.135 0.661 0.000
Tb 0.286 0.432 0.000
Tb 0.339 0.865 0.000
Tb 0.432 0.286 0.000
Tb 0.568 0.714 0.000
Tb 0.661 0.135 0.000
Tb 0.714 0.568 0.000
Tb 0.865 0.339 0.000
Ce 0.052 0.250 0.000
Ce 0.250 0.052 0.000
Ce 0.750 0.948 0.000
Ce 0.948 0.750 0.000
Ho 0.091 0.452 0.500
Ho 0.137 0.863 0.500
Ho 0.213 0.213 0.500
Ho 0.342 0.658 0.500
Ho 0.452 0.091 0.500
Ho 0.500 0.500 0.500
Ho 0.548 0.909 0.500
Ho 0.658 0.342 0.500
Ho 0.787 0.787 0.500
Ho 0.863 0.137 0.500
Ho 0.909 0.548 0.500

Output
As for the mass density: 8.34 g cm⁻³. The value obtained for the raw total energy is -113.38 eV for the cell shown. The calculation puts the magnetic moment at 4.087 μB per formula unit.

No. 2
Compound: Er5CoBi2
Source: Alexandria via LeMat-Bulk
Functional: PBE
Structure: relaxed

abc: 8.032 12.311 4.409
angles: 90.00 90.00 90.00
Fractional positions:
Er 0.000 0.000 0.000
Er 0.136 0.312 0.000
Er 0.176 0.561 0.500
Er 0.324 0.061 0.500
Er 0.364 0.812 0.000
Er 0.500 0.500 0.000
Er 0.636 0.188 0.000
Er 0.676 0.939 0.500
Er 0.824 0.439 0.500
Er 0.864 0.688 0.000
Co 0.000 0.500 0.000
Co 0.500 0.000 0.000
Bi 0.068 0.825 0.500
Bi 0.432 0.325 0.500
Bi 0.568 0.675 0.500
Bi 0.932 0.175 0.500

Output
The calculation puts the polymorph energy (0 for the lowest one) at 0 meV/atom. As for the mass density: 10.00 g cm⁻³. The value obtained for the raw total energy is -83.94 eV for the cell shown. The calculation puts the magnetic moment at 0.000 μB per formula unit.

No. 3
Compound: Li2Ca5Ag5
Source: Alexandria via LeMat-Bulk
Functional: PBE
Structure: relaxed

abc: 8.250 8.250 11.328
angles: 127.94 127.94 31.12
Fractional positions:
Li 0.145 0.145 0.262
Li 0.855 0.855 0.738
Ca 0.302 0.302 0.173
Ca 0.398 0.398 0.582
Ca 0.500 0.500 0.000
Ca 0.602 0.602 0.418
Ca 0.698 0.698 0.827
Ag 0.000 0.000 0.500
Ag 0.060 0.060 0.841
Ag 0.238 0.238 0.670
Ag 0.762 0.762 0.330
Ag 0.940 0.940 0.159

Output
As for the mass density: 4.08 g cm⁻³. The value obtained for the raw total energy is -30.78 eV for the cell shown. The calculation puts the magnetic moment at 0.000 μB per formula unit.

No. 4
Compound: LaTb6Pm3Y2
Source: Alexandria via LeMat-Bulk
Functional: PBE
Structure: relaxed

abc: 6.237 6.237 11.941
angles: 94.99 94.99 119.98
Fractional positions:
La 0.000 0.000 0.000
Tb 0.084 0.418 0.250
Tb 0.250 0.250 0.750
Tb 0.418 0.084 0.250
Tb 0.582 0.916 0.750
Tb 0.750 0.750 0.250
Tb 0.916 0.582 0.750
Pm 0.167 0.833 0.500
Pm 0.500 0.500 0.500
Pm 0.833 0.167 0.500
Y 0.333 0.667 0.000
Y 0.667 0.333 0.000

Output
As for the mass density: 7.15 g cm⁻³. The value obtained for the raw total energy is -59.68 eV for the cell shown. The calculation puts the magnetic moment at 0.000 μB per formula unit.